1.
A plane-wave DFT calculation with PBE was carried out for a geometry-optimized AcLa4PmSm2 structure.

Cell: 5.271 6.458 9.899 Å, 89.61 74.56 65.91°
Sites, in units of the cell vectors:
Ac1 0.500 0.500 0.500
La1 0.123 0.124 0.630
La2 0.374 0.375 0.877
La3 0.877 0.876 0.370
La4 0.626 0.625 0.123
Pm1 0.000 0.000 0.000
Sm1 0.744 0.756 0.755
Sm2 0.256 0.244 0.245

***

2.
A plane-wave DFT calculation with PBE was carried out for a geometry-optimized PrNdErCd structure.

Cell: 3.682 3.682 9.088 Å, 90.00 90.00 90.00°
Sites, in units of the cell vectors:
Pr1 0.000 0.000 0.080
Nd1 0.500 0.500 0.794
Er1 0.500 0.500 0.352
Cd1 0.000 0.000 0.558

Computed properties:
As for the offset from the most stable computed form: 0.000 eV per atom.

***

3.
A plane-wave DFT calculation with PBE was carried out for a geometry-optimized Sc5GaPt structure.

Cell: 5.427 5.427 10.601 Å, 80.17 80.17 83.29°
Sites, in units of the cell vectors:
Sc1 0.942 0.528 0.135
Sc2 0.231 0.528 0.551
Sc3 0.528 0.942 0.635
Sc4 0.034 0.966 0.250
Sc5 0.472 0.769 0.949
Sc6 0.528 0.231 0.051
Sc7 0.966 0.034 0.750
Sc8 0.472 0.058 0.365
Sc9 0.769 0.472 0.449
Sc10 0.058 0.472 0.865
Ga1 0.424 0.576 0.250
Ga2 0.576 0.424 0.750
Pt1 0.000 0.000 0.000
Pt2 0.000 0.000 0.500

***

4.
A plane-wave DFT calculation with PBE was carried out for a geometry-optimized Rb2BaGaI6 structure.

Cell: 8.961 8.961 8.955 Å, 59.98 59.98 90.00°
Sites, in units of the cell vectors:
I1 0.266 0.266 0.468
I2 0.734 0.734 0.532
I3 0.266 0.266 0.000
I4 0.734 0.734 0.000
I5 0.734 0.266 0.000
I6 0.266 0.734 0.000
Ga1 0.500 0.500 0.000
Ba1 0.000 0.000 0.000
Rb1 0.750 0.250 0.500
Rb2 0.250 0.750 0.500

Computed properties:
The formation energy (no corrections) comes out at -1.1344 eV per atom.

***

5.
A plane-wave DFT calculation with PBE was carried out for a geometry-optimized TlFe2Os structure.

Cell: 3.715 2.887 6.441 Å, 63.31 90.00 90.00°
Sites, in units of the cell vectors:
Fe1 0.000 0.951 0.048
Fe2 0.000 0.549 0.452
Os1 0.500 0.250 0.250
Tl1 0.500 0.750 0.750

Computed properties:
As for the offset from the most stable computed form: 0.021 eV per atom.

***

6.
A plane-wave DFT calculation with PBE was carried out for a geometry-optimized Tm8Ga2Ir structure.

Cell: 4.885 6.448 9.481 Å, 102.53 104.93 90.00°
Sites, in units of the cell vectors:
Tm1 0.411 0.553 0.822
Tm2 0.652 0.980 0.304
Tm3 0.788 0.679 0.577
Tm4 0.973 0.216 0.947
Tm5 0.212 0.321 0.423
Tm6 0.348 0.020 0.696
Tm7 0.589 0.447 0.178
Tm8 0.027 0.784 0.053
Ga1 0.813 0.244 0.625
Ga2 0.187 0.756 0.375
Ir1 0.500 0.000 0.000

***

Computed values of VASP energy (unit: eV/atom) for the preceding records, in sequence: -4.725 -3.906 -6.227 -2.753 -7.092 -5.023.
Computed values of size of the total moment (unit: μB per atom) for the preceding records, in sequence: 0.000 0.000 0.000 0.000 1.296 0.000.